Record 1
Density functional theory data (PBE-GGA) for a geometry-optimized CaTlMo structure.

## Properties
Energy above the most stable polymorph in this dataset in eV per formula unit: 0.28
Formation energy from the elements in meV per atom: 633
Symmetry: No. 187
Magnetic moment in μB/cell: 0.001

Unit cell a=5.0947 b=5.0947 c=3.0381 alpha=90.00 beta=90.00 gamma=120.00
Last column: nearest neighbours and their distance in Å.
Sites, in units of the cell vectors:
Mo 0.6667 0.3333 0.4995  3 Tl 2.94, 2 Mo 3.04
Ca 0.0000 0.0000 0.0000  2 Ca 3.04, 6 Tl 3.31, 6 Mo 3.31
Tl 0.3333 0.6667 0.5005  3 Mo 2.94, 2 Tl 3.04

Record 2
Density functional theory data (PBE-GGA) for a geometry-optimized Ca2TlMo structure.

## Properties
Energy above the most stable polymorph in this dataset in eV per formula unit: 0.49
Formation energy from the elements in meV per atom: 527
Symmetry: No. 139
Magnetic moment in μB/cell: 0.002

Unit cell a=5.7582 b=5.7582 c=5.7582 alpha=134.05 beta=134.08 gamma=66.98
Last column: nearest neighbours and their distance in Å.
Sites, in units of the cell vectors:
Tl 0.2500 0.7500 0.5000  4 Mo 3.18, 8 Ca 3.29
Mo 0.7500 0.2500 0.5000  4 Tl 3.18, 8 Ca 3.29
Ca 0.0001 0.0001 0.0000  4 Ca 3.18, 4 Mo 3.29, 4 Tl 3.29
Ca 0.4999 0.4999 0.0000  4 Ca 3.18, 4 Mo 3.29, 4 Tl 3.29

Record 3
Density functional theory data (PBE-GGA) for a geometry-optimized Ca2TlMo structure.

## Properties
Energy above the most stable polymorph in this dataset in eV per formula unit: 0.42
Formation energy from the elements in meV per atom: 509
Symmetry: No. 65
Magnetic moment in μB/cell: 0.773

Unit cell a=7.1929 b=5.8009 c=3.1923 alpha=89.95 beta=63.75 gamma=119.89
Last column: nearest neighbours and their distance in Å.
Sites, in units of the cell vectors:
Ca 0.5000 0.0000 0.5000  4 Ca 3.19-3.23, 4 Mo 3.31, 4 Tl 3.31
Ca 0.0000 0.0000 0.0000  4 Ca 3.19-3.23, 4 Tl 3.31, 4 Mo 3.31
Tl 0.5000 0.5000 0.0000  2 Tl 3.19, 2 Mo 3.23, 8 Ca 3.31
Mo 0.0000 0.5000 0.5000  2 Mo 3.19, 2 Tl 3.23, 8 Ca 3.31

Record 4
Density functional theory data (PBE-GGA) for a geometry-optimized Ca3TlMo structure.

## Properties
Energy above the most stable polymorph in this dataset in eV per formula unit: 0.00
Formation energy from the elements in meV per atom: 687
Symmetry: No. 221
Magnetic moment in μB/cell: 1.619

Unit cell a=5.5808 b=5.5808 c=5.5808 alpha=90.00 beta=90.00 gamma=90.00
Last column: nearest neighbours and their distance in Å.
Sites, in units of the cell vectors:
Ca 0.0000 0.5000 0.0000  2 Mo 2.79
Ca 0.0000 0.0000 0.5000  2 Mo 2.79
Ca 0.5000 0.0000 0.0000  2 Mo 2.79
Mo 0.0000 0.0000 0.0000  6 Ca 2.79
Tl 0.5000 0.5000 0.5000  12 Ca 3.95

Record 5
Density functional theory data (PBE-GGA) for a geometry-optimized CaTlMo2 structure.

## Properties
Energy above the most stable polymorph in this dataset in eV per formula unit: 2.44
Formation energy from the elements in meV per atom: 893
Symmetry: No. 123
Magnetic moment in μB/cell: 0.000

Unit cell a=2.8855 b=2.8855 c=9.7489 alpha=90.00 beta=90.00 gamma=90.00
Last column: nearest neighbours and their distance in Å.
Sites, in units of the cell vectors:
Ca 0.5000 0.5000 0.7500  4 Ca 2.89
Mo 0.0000 0.0000 0.4825  4 Mo 2.89, 4 Tl 3.05
Mo 0.0000 0.0000 0.0175  4 Mo 2.89, 4 Tl 3.05
Tl 0.5000 0.5000 0.2500  4 Tl 2.89, 8 Mo 3.05

Record 6
Density functional theory data (PBE-GGA) for a geometry-optimized CaTl4Mo structure.

## Properties
Formation energy from the elements in meV per atom: 585
Symmetry: No. 216
Magnetic moment in μB/cell: 3.604

Unit cell a=6.2356 b=6.2356 c=6.2356 alpha=60.00 beta=60.00 gamma=60.00
Last column: nearest neighbours and their distance in Å.
Sites, in units of the cell vectors:
Tl 0.3744 0.8769 0.3744  6 Tl 3.10-3.13
Tl 0.8769 0.3744 0.3744  6 Tl 3.10-3.13
Tl 0.3744 0.3744 0.3744  6 Tl 3.10-3.13
Tl 0.3744 0.3744 0.8769  6 Tl 3.10-3.13
Mo 0.0000 0.0000 0.0000  12 Tl 3.65, 4 Ca 3.82
Ca 0.7500 0.7500 0.7500  12 Tl 3.66, 4 Mo 3.82

Record 7
Density functional theory data (PBE-GGA) for a geometry-optimized CaTlMo structure.

## Properties
Energy above the most stable polymorph in this dataset in eV per formula unit: 0.04
Formation energy from the elements in meV per atom: 550
Symmetry: No. 42
Magnetic moment in μB/cell: 0.000

Unit cell a=7.6538 b=7.5891 c=3.0417 alpha=79.69 beta=77.30 gamma=23.02
Last column: nearest neighbours and their distance in Å.
Sites, in units of the cell vectors:
Mo 0.3290 0.3290 0.6710  4 Tl 3.01-3.17, 4 Mo 3.04, 4 Ca 3.16-3.31
Ca 0.9941 0.9941 0.0059  4 Ca 3.04, 4 Mo 3.16-3.31, 2 Tl 3.36
Tl 0.6769 0.6769 0.3231  4 Mo 3.01-3.17, 4 Tl 3.04, 2 Ca 3.36

Record 8
Density functional theory data (PBE-GGA) for a geometry-optimized CaTlMo2 structure.

## Properties
Energy above the most stable polymorph in this dataset in eV per formula unit: 0.95
Formation energy from the elements in meV per atom: 520
Symmetry: No. 44
Magnetic moment in μB/cell: 0.000

Unit cell a=5.6952 b=5.6952 c=5.6952 alpha=143.91 beta=126.88 gamma=65.91
Last column: nearest neighbours and their distance in Å.
Sites, in units of the cell vectors:
Mo 0.9655 0.9655 0.0000  2 Mo 2.45
Mo 0.7882 0.2882 0.5000  2 Mo 2.45
Tl 0.5142 0.5142 0.0000  8 Mo 3.13-3.34, 4 Ca 3.22-3.29
Ca 0.2321 0.7321 0.5000  8 Mo 3.10-3.39, 4 Tl 3.22-3.29

Record 9
Density functional theory data (PBE-GGA) for a geometry-optimized Ca2TlMo structure.

## Properties
Energy above the most stable polymorph in this dataset in eV per formula unit: 0.72
Formation energy from the elements in meV per atom: 584
Symmetry: No. 160
Magnetic moment in μB/cell: 0.539

Unit cell a=10.7670 b=10.7670 c=10.7670 alpha=18.33 beta=18.33 gamma=18.33
Last column: nearest neighbours and their distance in Å.
Sites, in units of the cell vectors:
Ca 0.2361 0.2361 0.2361  3 Mo 3.08, 6 Ca 3.43
Ca 0.0091 0.0091 0.0091  3 Tl 3.32, 6 Ca 3.43
Tl 0.7597 0.7597 0.7597  3 Mo 2.95
Mo 0.4951 0.4951 0.4951  3 Tl 2.95, 3 Ca 3.08

Record 10
Density functional theory data (PBE-GGA) for a geometry-optimized CaTlMo2 structure.

## Properties
Energy above the most stable polymorph in this dataset in eV per formula unit: 3.21
Formation energy from the elements in meV per atom: 1085
Symmetry: No. 225
Magnetic moment in μB/cell: 3.303

Unit cell a=4.8631 b=4.8631 c=4.8631 alpha=60.00 beta=60.00 gamma=60.00
Last column: nearest neighbours and their distance in Å.
Sites, in units of the cell vectors:
Mo 0.7500 0.7500 0.7500  4 Ca 2.98, 4 Tl 2.98
Mo 0.2500 0.2500 0.2500  4 Tl 2.98, 4 Ca 2.98
Tl 0.5000 0.5000 0.5000  8 Mo 2.98
Ca 0.0000 0.0000 0.0000  8 Mo 2.98

Record 11
Density functional theory data (PBE-GGA) for a geometry-optimized CaTlMo2 structure.

## Properties
Energy above the most stable polymorph in this dataset in eV per formula unit: 2.67
Formation energy from the elements in meV per atom: 950
Symmetry: No. 166
Magnetic moment in μB/cell: 0.000

Unit cell a=10.2649 b=10.2649 c=10.2649 alpha=17.09 beta=17.09 gamma=17.09
Last column: nearest neighbours and their distance in Å.
Sites, in units of the cell vectors:
Ca 0.7500 0.7500 0.7500  6 Ca 3.05, 6 Mo 3.18
Tl 0.2500 0.2500 0.2500  6 Mo 2.98, 6 Tl 3.05
Mo 0.5041 0.5041 0.5041  3 Tl 2.98, 6 Mo 3.05, 3 Ca 3.18
Mo 0.9959 0.9959 0.9959  3 Tl 2.98, 6 Mo 3.05, 3 Ca 3.18

Record 12
Density functional theory data (PBE-GGA) for a geometry-optimized Ca2TlMo structure.

## Properties
Energy above the most stable polymorph in this dataset in eV per formula unit: 0.20
Formation energy from the elements in meV per atom: 454
Symmetry: No. 6
Magnetic moment in μB/cell: 0.373

Unit cell a=5.0469 b=3.3172 c=6.4062 alpha=75.11 beta=90.00 gamma=90.00
Last column: nearest neighbours and their distance in Å.
Sites, in units of the cell vectors:
Mo 0.0000 0.6869 0.4985  2 Tl 2.96, 6 Ca 3.25-3.27
Ca 0.5000 0.2856 0.3019  3 Tl 3.22-3.43, 4 Mo 3.25-3.26, 2 Ca 3.32
Ca 0.0000 0.9623 0.9525  3 Mo 3.26-3.38, 4 Tl 3.27-3.28, 2 Ca 3.32
Tl 0.5000 0.5652 0.7472  2 Mo 2.96, 6 Ca 3.22-3.28

Record 13
Density functional theory data (PBE-GGA) for a geometry-optimized CaTlMo2 structure.

## Properties
Energy above the most stable polymorph in this dataset in eV per formula unit: 0.73
Formation energy from the elements in meV per atom: 465
Symmetry: No. 35
Magnetic moment in μB/cell: 0.000

Unit cell a=3.0839 b=3.0839 c=9.6836 alpha=90.00 beta=90.00 gamma=112.37
Last column: nearest neighbours and their distance in Å.
Sites, in units of the cell vectors:
Mo 0.5000 0.5000 0.2217  2 Mo 2.51
Mo 0.0000 0.0000 0.0323  2 Mo 2.51
Ca 0.5000 0.5000 0.7674  6 Ca 3.08-3.43, 2 Mo 3.09, 2 Tl 3.28
Tl 0.0000 0.0000 0.4786  2 Mo 3.02, 4 Tl 3.08, 2 Ca 3.28

Record 14
Density functional theory data (PBE-GGA) for a geometry-optimized CaTlMo3 structure.

## Properties
Energy above the most stable polymorph in this dataset in eV per formula unit: 1.43
Formation energy from the elements in meV per atom: 2508
Symmetry: No. 221
Magnetic moment in μB/cell: 0.000

Unit cell a=4.7075 b=4.7075 c=4.7075 alpha=90.00 beta=90.00 gamma=90.00
Last column: nearest neighbours and their distance in Å.
Sites, in units of the cell vectors:
Tl 0.5000 0.5000 0.5000  12 Mo 3.33
Mo 0.0000 0.0000 0.5000  2 Ca 2.35
Mo 0.0000 0.5000 0.0000  2 Ca 2.35
Mo 0.5000 0.0000 0.0000  2 Ca 2.35
Ca 0.0000 0.0000 0.0000  6 Mo 2.35

Record 15
Density functional theory data (PBE-GGA) for a geometry-optimized CaTlMo4 structure.

## Properties
Formation energy from the elements in meV per atom: 514
Symmetry: No. 216
Magnetic moment in μB/cell: 0.000

Unit cell a=5.4570 b=5.4570 c=5.4570 alpha=60.00 beta=60.00 gamma=60.00
Last column: nearest neighbours and their distance in Å.
Sites, in units of the cell vectors:
Tl 0.7500 0.7500 0.7500  12 Mo 3.20, 4 Ca 3.34
Mo 0.8749 0.3750 0.3750  6 Mo 2.73
Mo 0.3750 0.3750 0.8749  6 Mo 2.73
Mo 0.3750 0.3750 0.3750  6 Mo 2.73
Mo 0.3750 0.8749 0.3750  6 Mo 2.73
Ca 0.0000 0.0000 0.0000  12 Mo 3.20, 4 Tl 3.34

Record 16
Density functional theory data (PBE-GGA) for a geometry-optimized CaTlMo structure.

## Properties
Energy above the most stable polymorph in this dataset in eV per formula unit: 0.23
Formation energy from the elements in meV per atom: 614
Symmetry: No. 44
Magnetic moment in μB/cell: 0.002

Unit cell a=5.9790 b=5.9790 c=5.9790 alpha=149.04 beta=140.53 gamma=50.99
Last column: nearest neighbours and their distance in Å.
Sites, in units of the cell vectors:
Mo 0.3153 0.3153 0.0000  4 Tl 2.91, 2 Mo 3.19, 4 Ca 3.22
Tl 0.6894 0.6894 0.0000  4 Mo 2.91, 2 Tl 3.19
Ca 0.9954 0.9954 0.0000  2 Ca 3.19, 5 Mo 3.22-3.45, 5 Tl 3.30-3.32

Record 17
Density functional theory data (PBE-GGA) for a geometry-optimized CaTlMo2 structure.

## Properties
Energy above the most stable polymorph in this dataset in eV per formula unit: 1.93
Formation energy from the elements in meV per atom: 767
Symmetry: No. 12
Magnetic moment in μB/cell: 0.000

Unit cell a=5.4204 b=5.4204 c=5.3557 alpha=82.69 beta=82.69 gamma=30.89
Last column: nearest neighbours and their distance in Å.
Sites, in units of the cell vectors:
Mo 0.9928 0.9928 0.9938  6 Mo 2.89-3.12, 3 Ca 3.00-3.18, 3 Tl 3.08-3.17
Mo 0.5072 0.5072 0.5062  6 Mo 2.89-3.12, 3 Ca 3.00-3.18, 3 Tl 3.08-3.17
Tl 0.2500 0.2500 0.2500  2 Tl 2.89, 4 Ca 3.04, 6 Mo 3.08-3.17
Ca 0.7500 0.7500 0.7500  2 Ca 2.89, 6 Mo 3.00-3.18, 4 Tl 3.04

Record 18
Density functional theory data (PBE-GGA) for a geometry-optimized Ca2TlMo structure.

## Properties
Energy above the most stable polymorph in this dataset in eV per formula unit: 0.36
Formation energy from the elements in meV per atom: 494
Symmetry: No. 119
Magnetic moment in μB/cell: 2.971

Unit cell a=5.6706 b=5.6706 c=5.6706 alpha=130.37 beta=130.37 gamma=72.82
Last column: nearest neighbours and their distance in Å.
Sites, in units of the cell vectors:
Ca 0.0000 0.0000 0.0000  4 Tl 3.30, 4 Ca 3.30, 4 Mo 3.37
Ca 0.2500 0.7500 0.5000  4 Mo 3.30, 4 Ca 3.30, 4 Tl 3.37
Mo 0.5000 0.5000 0.0000  8 Ca 3.30-3.37, 4 Tl 3.30
Tl 0.7500 0.2500 0.5000  4 Mo 3.30, 8 Ca 3.30-3.37

Record 19
Density functional theory data (PBE-GGA) for a geometry-optimized Ca2ZrTlMo structure.

## Properties
Formation energy from the elements in meV per atom: 987
Symmetry: No. 123
Magnetic moment in μB/cell: 0.641

Unit cell a=6.0703 b=4.7075 c=6.0703 alpha=90.00 beta=90.00 gamma=90.00
Last column: nearest neighbours and their distance in Å.
Sites, in units of the cell vectors:
Tl 0.5000 0.5000 0.5000  8 Ca 3.84, 4 Mo 4.29
Zr 0.0000 0.0000 0.0000  2 Mo 2.35
Ca 0.5000 0.0000 0.0000  2 Zr 3.04
Ca 0.0000 0.0000 0.5000  2 Zr 3.04
Mo 0.0000 0.5000 0.0000  2 Zr 2.35

Record 20
Density functional theory data (PBE-GGA) for a geometry-optimized CaVMo2 structure.

## Properties
Energy above the most stable polymorph in this dataset in eV per formula unit: 1.64
Formation energy from the elements in meV per atom: 1214
Symmetry: No. 122
Magnetic moment in μB/cell: 1.140

Unit cell a=4.6516 b=4.6516 c=9.3451 alpha=75.59 beta=75.59 gamma=90.00
Last column: nearest neighbours and their distance in Å.
Sites, in units of the cell vectors:
V 0.0000 0.0000 0.0000  4 Mo 2.50
V 0.7500 0.2500 0.5000  4 Mo 2.50
Ca 0.2500 0.7500 0.5000  4 Mo 3.18, 4 V 3.29
Ca 0.5000 0.5000 0.0000  4 Mo 3.18, 4 V 3.29
Mo 0.8040 0.6250 0.2500  2 Mo 2.42, 2 V 2.50
Mo 0.8750 0.1960 0.7500  2 Mo 2.42, 2 V 2.50
Mo 0.9460 0.1250 0.2500  2 Mo 2.42, 2 V 2.50
Mo 0.3750 0.0540 0.7500  2 Mo 2.42, 2 V 2.50